[1]
GeBrF | PBE | optimized geometry

Its uncorrected formation energy is -3.59 eV per formula unit.

Cell and atoms, written as CIF:
```
data_GeBrF
_chemical_formula_sum 'Ge1 Br1 F1'
_cell_length_a 3.8060
_cell_length_b 3.8060
_cell_length_c 5.6225
_cell_angle_alpha 90.00
_cell_angle_beta 90.00
_cell_angle_gamma 120.00
_symmetry_space_group_name_H-M 'P 3 m 1'
_symmetry_Int_Tables_number 156
loop_
_symmetry_equiv_pos_as_xyz
'x,y,z'
'-y,x-y,z'
'-x+y,-x,z'
'-y,-x,z'
'-x+y,y,z'
'x,x-y,z'
loop_
_atom_site_label
_atom_site_fract_x
_atom_site_fract_y
_atom_site_fract_z
Ge1 0.0000 0.0000 0.0000
Br1 0.6667 0.3333 0.3121
F1 0.3333 0.6667 0.8672
```

[2]
Y2TaTlN | PBE | optimized geometry

Its uncorrected formation energy is -3.31 eV per formula unit.

Cell and atoms, written as CIF:
```
data_Y2TaTlN
_chemical_formula_sum 'Y2 Ta1 Tl1 N1'
_cell_length_a 4.963
_cell_length_b 4.963
_cell_length_c 4.174
_cell_angle_alpha 90.00
_cell_angle_beta 90.00
_cell_angle_gamma 90.00
_symmetry_space_group_name_H-M 'P 4/m m m'
_symmetry_Int_Tables_number 123
_symmetry_space_group_name_Hall '-P 4 2'
loop_
_atom_site_label
_atom_site_fract_x
_atom_site_fract_y
_atom_site_fract_z
Y1 0.000 0.500 0.000
Ta1 0.000 0.000 0.500
Tl1 0.500 0.500 0.500
N1 0.000 0.000 0.000
```

[3]
Pm2NiGe4Ir3 | PBE | optimized geometry

The formation energy is -0.722 eV per atom.

Cell and atoms, written as CIF:
```
data_Pm2NiGe4Ir3
_chemical_formula_sum 'Pm2 Ni1 Ge4 Ir3'
_cell_length_a 4.261
_cell_length_b 4.261
_cell_length_c 10.093
_cell_angle_alpha 90.00
_cell_angle_beta 90.00
_cell_angle_gamma 90.00
_symmetry_space_group_name_H-M 'P -4 m 2'
_symmetry_Int_Tables_number 115
loop_
_symmetry_equiv_pos_as_xyz
'x,y,z'
'y,-x,-z'
'-x,-y,z'
'-y,x,-z'
'-x,y,z'
'-y,-x,-z'
'x,-y,z'
'y,x,-z'
loop_
_atom_site_label
_atom_site_fract_x
_atom_site_fract_y
_atom_site_fract_z
Pm1 0.000 0.500 0.247
Ni1 0.000 0.000 0.500
Ge1 0.000 0.000 0.000
Ge2 0.000 0.500 0.627
Ge3 0.500 0.500 0.000
Ir1 0.000 0.500 0.871
Ir2 0.500 0.500 0.500
```

[4]
Rb3Cr20Te32 | PBE | optimized geometry

Its uncorrected formation energy is -16.63 eV per formula unit. The energy above the most stable polymorph in this dataset is 0.000 eV per atom.

Cell and atoms, written as CIF:
```
data_Rb3Cr20Te32
_chemical_formula_sum 'Rb3 Cr20 Te32'
_cell_length_a 11.205
_cell_length_b 11.893
_cell_length_c 13.742
_cell_angle_alpha 114.32
_cell_angle_beta 101.45
_cell_angle_gamma 102.07
_symmetry_space_group_name_H-M 'P -1'
_symmetry_Int_Tables_number 2
loop_
_symmetry_equiv_pos_as_xyz
'x,y,z'
'-x,-y,-z'
loop_
_atom_site_label
_atom_site_fract_x
_atom_site_fract_y
_atom_site_fract_z
Rb1 0.000 0.000 0.000
Rb2 0.278 0.000 0.277
Cr1 0.069 0.462 0.236
Cr2 0.118 0.163 0.627
Cr3 0.125 0.500 0.625
Cr4 0.130 0.836 0.623
Cr5 0.181 0.537 0.014
Cr6 0.320 0.463 0.486
Cr7 0.367 0.163 0.877
Cr8 0.375 0.500 0.875
Cr9 0.381 0.837 0.873
Cr10 0.431 0.537 0.264
Te1 0.004 0.657 0.993
Te2 0.106 0.062 0.771
Te3 0.107 0.403 0.777
Te4 0.119 0.737 0.771
Te5 0.132 0.263 0.479
Te6 0.140 0.937 0.480
Te7 0.142 0.597 0.473
Te8 0.248 0.343 0.258
Te9 0.253 0.655 0.242
Te10 0.358 0.402 0.027
Te11 0.359 0.062 0.023
Te12 0.370 0.738 0.022
Te13 0.381 0.264 0.730
Te14 0.387 0.937 0.728
Te15 0.392 0.598 0.723
Te16 0.498 0.345 0.509
```

[5]
YCr2Co | PBE | optimized geometry

The formation energy is 0.695 eV per atom. The energy above the most stable polymorph in this dataset is 0.384 eV per atom.

Cell and atoms, written as CIF:
```
data_YCr2Co
_chemical_formula_sum 'Y2 Cr4 Co2'
_cell_length_a 5.027
_cell_length_b 9.107
_cell_length_c 2.761
_cell_angle_alpha 90.00
_cell_angle_beta 110.55
_cell_angle_gamma 90.00
_symmetry_space_group_name_H-M 'C 1 2/m 1'
_symmetry_Int_Tables_number 12
loop_
_symmetry_equiv_pos_as_xyz
'x,y,z'
'-x,-y,-z'
'-x,y,-z'
'x,-y,z'
'x+1/2,y+1/2,z'
'-x+1/2,-y+1/2,-z'
'-x+1/2,y+1/2,-z'
'x+1/2,-y+1/2,z'
loop_
_atom_site_label
_atom_site_fract_x
_atom_site_fract_y
_atom_site_fract_z
Y1 0.000 0.000 0.000
Cr1 0.250 0.250 0.500
Co1 0.000 0.500 0.000
```

[6]
Tl3Bi | PBE | optimized geometry

The formation energy is -0.028 eV per atom. The energy above the most stable polymorph in this dataset is 0.007 eV per atom.

Cell and atoms, written as CIF:
```
data_Tl3Bi
_chemical_formula_sum 'Tl6 Bi2'
_cell_length_a 7.4051
_cell_length_b 7.4051
_cell_length_c 5.4201
_cell_angle_alpha 90.00
_cell_angle_beta 90.00
_cell_angle_gamma 120.00
_symmetry_space_group_name_H-M 'P 63/m m c'
_symmetry_Int_Tables_number 194
_symmetry_space_group_name_Hall '-P 6c 2c'
loop_
_atom_site_label
_atom_site_fract_x
_atom_site_fract_y
_atom_site_fract_z
Tl1 0.1690 0.3380 0.2500
Bi1 0.3333 0.6667 0.7500
```

| no. | spin magnetization (μB/atom) |
| --- | --- |
| 1 | 0.000 |
| 2 | 0.000 |
| 3 | 0.006 |
| 4 | 1.080 |
| 5 | 0.226 |
| 6 | 0.000 |